Entry 1:
DFT (PBE) results for GaTe4I after structural relaxation.

Formation energy without anion corrections: -0.097 eV/atom

a = 8.0206 Å, b = 8.0206 Å, c = 7.8229 Å
α = 94.03°, β = 94.03°, γ = 90.73°
Fractional positions:
Ga  0.1383  0.1383  0.4571
Ga  0.8617  0.8617  0.5429
Te  0.0585  0.7271  0.0637
Te  0.1851  0.8149  0.5000
Te  0.2454  0.2454  0.1657
Te  0.2729  0.9415  0.9363
Te  0.7271  0.0585  0.0637
Te  0.7546  0.7546  0.8343
Te  0.8149  0.1851  0.5000
Te  0.9415  0.2729  0.9363
I  0.3332  0.3332  0.6707
I  0.6668  0.6668  0.3293

=====

Entry 2:
DFT (PBE) results for Ga2TeI after structural relaxation.

Formation energy without anion corrections: -0.011 eV/atom
Offset from the most stable computed form: 200 meV per atom

a = 5.4393 Å, b = 5.4393 Å, c = 5.4393 Å
α = 60.00°, β = 60.00°, γ = 60.00°
Fractional positions:
Ga  0.2500  0.2500  0.2500
Ga  0.7500  0.7500  0.7500
Te  0.0000  0.0000  0.0000
I  0.5000  0.5000  0.5000

=====

Entry 3:
DFT (PBE) results for Ga2TeI after structural relaxation.

Formation energy without anion corrections: -0.184 eV/atom
Offset from the most stable computed form: 27 meV per atom

a = 8.1411 Å, b = 8.1411 Å, c = 8.1411 Å
α = 30.27°, β = 30.27°, γ = 30.27°
Fractional positions:
Ga  0.0000  0.0000  0.0000
Ga  0.1881  0.1881  0.1881
Te  0.5989  0.5989  0.5989
I  0.4228  0.4228  0.4228